[1]
# NaMgCd2Cu

Crystalline NaMgCd2Cu at its relaxed geometry (PBE-GGA, Alexandria via LeMat-Bulk).

Unit cell a=5.049 b=5.049 c=4.966 alpha=90.00 beta=90.00 gamma=90.00
Sites, in units of the cell vectors:
Na 0.500 0.500 0.500
Cu 0.000 0.000 0.000
Mg 0.000 0.000 0.500
Cd 0.500 0.000 0.000
Cd 0.000 0.500 0.000

As for the space-group type: No. 123. The calculation puts the formation enthalpy at 0 K at 5.9 kJ/mol of atoms.

***

[2]
# Mo2OsRh

Crystalline Mo2OsRh at its relaxed geometry (PBE-GGA, Alexandria via LeMat-Bulk).

Unit cell a=3.920 b=2.761 c=6.191 alpha=63.54 beta=90.00 gamma=90.00
Sites, in units of the cell vectors:
Os 0.500 0.250 0.250
Rh 0.500 0.750 0.750
Mo 0.000 0.996 0.005
Mo 0.000 0.504 0.495

As for the space-group type: No. 47. The calculation puts the formation enthalpy at 0 K at -5.4 kJ/mol of atoms. The energy above the lowest structure with this stoichiometry is 0.019 eV per atom.

***

[3]
# K2NaZn2

Crystalline K2NaZn2 at its relaxed geometry (PBE-GGA, Alexandria via LeMat-Bulk).

Unit cell a=10.141 b=10.141 c=3.606 alpha=90.00 beta=90.00 gamma=90.00
Sites, in units of the cell vectors:
Na 0.000 0.000 0.000
K 0.192 0.308 0.000
Zn 0.593 0.907 0.500
K 0.308 0.808 0.000
Zn 0.907 0.407 0.500
Zn 0.407 0.093 0.500
Zn 0.093 0.593 0.500
Na 0.500 0.500 0.000
K 0.692 0.192 0.000
K 0.808 0.692 0.000

As for the space-group type: No. 127. The calculation puts the formation enthalpy at 0 K at 17.4 kJ/mol of atoms. The energy above the lowest structure with this stoichiometry is 0.083 eV per atom.